Material: AlTl2Rh2
Method: DFT, PBE
State: relaxed Values from VASP.

Cell and atoms, written as Quantum ESPRESSO input:
```
&SYSTEM
  ibrav = 0, nat = 10, ntyp = 3
/
ATOMIC_SPECIES
Al 26.98 Al.upf
Tl 204.38 Tl.upf
Rh 102.91 Rh.upf
CELL_PARAMETERS angstrom
6.5893 0.0000 0.0000
0.0000 6.5893 0.0000
0.0000 0.0000 4.3097
ATOMIC_POSITIONS crystal
Al 0.0000 0.0000 0.0000
Al 0.5000 0.5000 0.0000
Tl 0.1634 0.3366 0.5000
Tl 0.3366 0.8366 0.5000
Tl 0.6634 0.1634 0.5000
Tl 0.8366 0.6634 0.5000
Rh 0.1525 0.6525 0.0000
Rh 0.3475 0.1525 0.0000
Rh 0.6525 0.8475 0.0000
Rh 0.8475 0.3475 0.0000
```

Total magnetization (μB per formula unit): 0.00
E above lowest polymorph (meV per atom): 0
Energy of formation (eV/atom): -0.142
Total energy (eV per atom): -4.78